## HfFeCo (PBE-GGA)

Data for crystalline HfFeCo at its relaxed geometry.

The value obtained for the energy of formation is -0.355 eV/atom. The offset from the most stable computed form comes out at 0.0 meV per atom. The total DFT energy (no corrections) is -8.862 eV per atom. The calculation puts the density of states at the Fermi level at 3.09 states/eV/f.u.

Lattice parameters (Å, degrees): 4.835 5.001 6.908 90.00 90.00 90.00
Space group Imma (No. 74)
Asymmetric unit:
Hf1 0.000 0.250 0.122
Fe1 0.250 0.250 0.750
Co1 0.000 0.000 0.500


## Ce2HgIr (PBE-GGA)

Data for crystalline Ce2HgIr at its relaxed geometry.

The value obtained for the energy of formation is -0.405 eV/atom. The offset from the most stable computed form comes out at 123.1 meV per atom. The total DFT energy (no corrections) is -5.662 eV per atom. The calculation puts the density of states at the Fermi level at 10.44 states/eV/f.u.

Lattice parameters (Å, degrees): 7.281 7.281 7.281 90.00 90.00 90.00
Space group Fm-3m (No. 225)
Asymmetric unit:
Ce1 0.250 0.250 0.250
Hg1 0.000 0.000 0.000
Ir1 0.000 0.000 0.500


## PuU5Se6 (PBE-GGA)

Data for crystalline PuU5Se6 at its relaxed geometry.

The total DFT energy (no corrections) is -8.714 eV per atom. The calculation puts the density of states at the Fermi level at 33.77 states/eV/f.u. The value obtained for the uncorrected formation energy is -1.07 eV per atom.

Lattice parameters (Å, degrees): 6.929 12.280 7.126 90.00 109.85 90.00
Space group C2/m (No. 12)
Asymmetric unit:
Pu1 0.000 0.000 0.000
U1 0.000 0.166 0.500
U2 0.000 0.332 0.000
U3 0.000 0.500 0.500
Se1 0.248 0.500 0.249
Se2 0.249 0.333 0.749


## Cs6CdPt (PBE-GGA)

Data for crystalline Cs6CdPt at its relaxed geometry.

The value obtained for the energy of formation is -0.051 eV/atom. The total DFT energy (no corrections) is -1.560 eV per atom. The calculation puts the density of states at the Fermi level at 5.19 states/eV/f.u.

Lattice parameters (Å, degrees): 5.023 15.279 16.045 90.00 90.00 90.00
Space group Amm2 (No. 38)
Asymmetric unit:
Cs1 0.000 0.000 0.000
Cs2 0.000 0.135 0.691
Cs3 0.500 0.000 0.285
Cs4 0.500 0.204 0.466
Cd1 0.000 0.000 0.487
Pt1 0.500 0.000 0.554


## CsCd2HgPd (PBE-GGA)

Data for crystalline CsCd2HgPd at its relaxed geometry.

The value obtained for the energy of formation is -0.215 eV/atom. The total DFT energy (no corrections) is -1.851 eV per atom. The calculation puts the density of states at the Fermi level at 1.57 states/eV/f.u.

Lattice parameters (Å, degrees): 5.396 5.396 5.498 90.00 90.00 90.00
Space group P4/mmm (No. 123)
Asymmetric unit:
Cs1 0.000 0.000 0.000
Cd1 0.000 0.500 0.500
Hg1 0.500 0.500 0.000
Pd1 0.500 0.500 0.500


## TbGaNi (PBE-GGA)

Data for crystalline TbGaNi at its relaxed geometry.

The value obtained for the energy of formation is 0.472 eV/atom. The total DFT energy (no corrections) is -4.007 eV per atom. The calculation puts the density of states at the Fermi level at 3.65 states/eV/f.u.

Lattice parameters (Å, degrees): 3.030 3.030 14.025 90.00 90.00 90.00
Space group I4mm (No. 107)
Asymmetric unit:
Tb1 0.000 0.000 0.000
Ga1 0.000 0.000 0.654
Ni1 0.000 0.000 0.820


## KTcPd (PBE-GGA)

Data for crystalline KTcPd at its relaxed geometry.

The value obtained for the energy of formation is 1.060 eV/atom. The offset from the most stable computed form comes out at 815.7 meV per atom. The total DFT energy (no corrections) is -4.493 eV per atom. The calculation puts the density of states at the Fermi level at 3.87 states/eV/f.u.

Lattice parameters (Å, degrees): 4.3063 4.3063 10.7178 90.00 90.00 120.00
Space group P6_3/mmc (No. 194)
Asymmetric unit:
K1 0.0000 0.0000 0.0000
Tc1 0.3333 0.6667 0.2500
Pd1 0.3333 0.6667 0.7500


## PaNi4SnP2 (PBE-GGA)

Data for crystalline PaNi4SnP2 at its relaxed geometry.

The value obtained for the energy of formation is -0.594 eV/atom. The total DFT energy (no corrections) is -6.524 eV per atom. The calculation puts the density of states at the Fermi level at 6.01 states/eV/f.u.

Lattice parameters (Å, degrees): 3.706 3.706 8.879 90.00 90.00 90.00
Space group P4/mmm (No. 123)
Asymmetric unit:
Pa1 0.000 0.000 0.000
Ni1 0.000 0.500 0.287
Sn1 0.000 0.000 0.500
P1 0.500 0.500 0.146


## IrSe4I2 (PBE-GGA)

Data for crystalline IrSe4I2 at its relaxed geometry.

The total DFT energy (no corrections) is -3.304 eV per atom. The calculation puts the density of states at the Fermi level at 9.26 states/eV/f.u. The value obtained for the uncorrected formation energy is 0.40 eV per atom.

Lattice parameters (Å, degrees): 4.903 4.903 16.790 90.00 90.00 90.00
Space group I4/mmm (No. 139)
Asymmetric unit:
Ir1 0.000 0.000 0.000
Se1 0.000 0.000 0.147
Se2 0.000 0.500 0.000
I1 0.000 0.000 0.376